(1)
Here is Pb2AuO4 after structural relaxation from OQMD. Energies are from GGA-PBE.

a b c (Å): 9.741 9.741 9.741
angles (deg): 90.00 90.00 90.00
Space group Fd-3m (No. 227, origin choice 2)
One atom of each set of equivalent atoms:
Pb 0.000 0.000 0.000
Au 0.125 0.125 0.625
O 0.016 0.016 0.234

Results
The value obtained for the total energy is -4.87 eV per atom.


(2)
Here is PbAuO3 after structural relaxation from OQMD. Energies are from GGA-PBE.

a b c (Å): 5.928 8.094 5.683
angles (deg): 90.00 90.00 90.00
Space group Pnma (No. 62)
One atom of each set of equivalent atoms:
Pb 0.050 0.250 0.012
Au 0.000 0.000 0.500
O 0.053 0.750 0.386
O 0.196 0.554 0.820

Results
The value obtained for the total energy is -4.71 eV per atom.


(3)
Here is SbPb2AuO6 after structural relaxation from OQMD. Energies are from GGA-PBE.

a b c (Å): 4.761 5.391 5.707
angles (deg): 86.70 89.07 82.06
Space group P-1 (No. 2)
One atom of each set of equivalent atoms:
Sb 0.000 0.000 0.000
Pb 0.223 0.253 0.487
Au 0.500 0.500 0.000
O 0.184 0.884 0.309
O 0.248 0.761 0.801
O 0.249 0.258 0.900

Results
The value obtained for the total energy is -5.32 eV per atom.


(4)
Here is ScPbAuO3 after structural relaxation from OQMD. Energies are from GGA-PBE.

a b c (Å): 3.201 15.846 7.440
angles (deg): 90.00 90.00 90.00
Space group Cmcm (No. 63)
One atom of each set of equivalent atoms:
Sc 0.000 0.000 0.000
Pb 0.000 0.317 0.250
Au 0.000 0.416 0.750
O 0.000 0.122 0.570
O 0.000 0.275 0.750

Results
The value obtained for the total moment is 0.00 μB/atom. The value obtained for the total energy is -5.72 eV per atom.


(5)
Here is SmPbAuO3 after structural relaxation from OQMD. Energies are from GGA-PBE.

a b c (Å): 3.755 12.870 8.650
angles (deg): 90.00 90.00 90.00
Space group Cmcm (No. 63)
One atom of each set of equivalent atoms:
Sm 0.000 0.000 0.000
Pb 0.000 0.316 0.250
Au 0.000 0.372 0.750
O 0.000 0.073 0.750
O 0.000 0.386 0.515

Results
The value obtained for the total moment is 0.00 μB/atom. The value obtained for the total energy is -6.18 eV per atom.


(6)
Here is TlPbAu3O4 after structural relaxation from OQMD. Energies are from GGA-PBE.

a b c (Å): 5.493 5.493 5.493
angles (deg): 90.00 90.00 90.00
Space group P-43m (No. 215)
One atom of each set of equivalent atoms:
Tl 0.000 0.000 0.000
Pb 0.500 0.500 0.500
Au 0.000 0.500 0.500
O 0.233 0.233 0.233

Results
The value obtained for the total energy is -3.84 eV per atom.


(7)
Here is TmPbAuO3 after structural relaxation from OQMD. Energies are from GGA-PBE.

a b c (Å): 3.449 14.786 8.235
angles (deg): 90.00 90.00 90.00
Space group Cmcm (No. 63)
One atom of each set of equivalent atoms:
Tm 0.000 0.000 0.000
Pb 0.000 0.324 0.250
Au 0.000 0.415 0.750
O 0.000 0.135 0.587
O 0.000 0.185 0.250

Results
The value obtained for the total moment is 0.00 μB/atom. The value obtained for the total energy is -5.36 eV per atom.


(8)
Here is Pd4AuO2 after structural relaxation from OQMD. Energies are from GGA-PBE.

a b c (Å): 4.865 4.865 11.239
angles (deg): 90.00 90.00 90.00
Space group I4/mmm (No. 139)
One atom of each set of equivalent atoms:
Pd 0.000 0.000 0.235
Pd 0.000 0.500 0.000
Au 0.000 0.000 0.000
O 0.000 0.000 0.404

Results
The value obtained for the total energy is -3.99 eV per atom.


(9)
Here is Pd3AuO6 after structural relaxation from OQMD. Energies are from GGA-PBE.

a b c (Å): 7.356 10.217 3.141
angles (deg): 90.00 90.00 90.00
Space group Cmmm (No. 65)
One atom of each set of equivalent atoms:
Pd 0.000 0.000 0.000
Pd 0.250 0.250 0.500
Au 0.000 0.500 0.000
O 0.000 0.351 0.500
O 0.200 0.129 0.000

Results
The value obtained for the total energy is -5.14 eV per atom.


(10)
Here is PdPt2AuO6 after structural relaxation from OQMD. Energies are from GGA-PBE.

a b c (Å): 7.297 10.354 3.164
angles (deg): 90.00 90.00 90.00
Space group Cmmm (No. 65)
One atom of each set of equivalent atoms:
Pd 0.000 0.000 0.000
Pt 0.250 0.250 0.500
Au 0.000 0.500 0.000
O 0.000 0.343 0.500
O 0.202 0.131 0.000

Results
The value obtained for the total moment is 0.04 μB/atom. The value obtained for the total energy is -5.36 eV per atom.


(11)
Here is Rb2PdAuO4 after structural relaxation from OQMD. Energies are from GGA-PBE.

a b c (Å): 6.051 4.672 11.967
angles (deg): 90.00 90.00 90.00
Space group Amm2 (No. 38)
One atom of each set of equivalent atoms:
Rb 0.000 0.000 0.000
Rb 0.500 0.000 0.393
Pd 0.500 0.000 0.694
Au 0.000 0.000 0.700
O 0.246 0.000 0.587
O 0.257 0.000 0.807

Results
The value obtained for the total energy is -4.57 eV per atom.


(12)
Here is Pm2AuO4 after structural relaxation from OQMD. Energies are from GGA-PBE.

a b c (Å): 9.861 9.861 9.861
angles (deg): 90.00 90.00 90.00
Space group Fd-3m (No. 227, origin choice 2)
One atom of each set of equivalent atoms:
Pm 0.000 0.000 0.000
Au 0.125 0.125 0.625
O 0.012 0.012 0.238

Results
The value obtained for the total moment is 0.14 μB/atom. The value obtained for the total energy is -6.73 eV per atom.


(13)
Here is PmAuSO after structural relaxation from OQMD. Energies are from GGA-PBE.

a b c (Å): 5.791 5.786 10.972
angles (deg): 90.00 91.98 90.00
Space group P2_1 (No. 4)
One atom of each set of equivalent atoms:
Pm 0.006 0.000 0.103
Pm 0.494 0.000 0.897
Au 0.002 0.021 0.717
Au 0.308 0.274 0.503
S 0.286 0.239 0.293
S 0.292 0.305 0.713
O 0.249 0.249 0.001
O 0.252 0.749 0.000

Results
The value obtained for the total moment is 0.00 μB/atom. The value obtained for the total energy is -6.19 eV per atom.


(14)
Here is PmAuSO after structural relaxation from OQMD. Energies are from GGA-PBE.

a b c (Å): 5.635 5.635 9.112
angles (deg): 90.00 90.00 90.00
Space group P4bm (No. 100)
One atom of each set of equivalent atoms:
Pm 0.000 0.000 0.000
Pm 0.000 0.500 0.262
Au 0.180 0.320 0.623
S 0.000 0.000 0.429
S 0.000 0.500 0.848
O 0.249 0.251 0.133

Results
The value obtained for the total moment is 0.00 μB/atom. The value obtained for the total energy is -6.10 eV per atom.


(15)
Here is PmAuSO after structural relaxation from OQMD. Energies are from GGA-PBE.

a b c (Å): 9.220 5.573 5.698
angles (deg): 90.00 90.00 90.00
Space group Pbcm (No. 57)
One atom of each set of equivalent atoms:
Pm 0.128 0.006 0.250
Au 0.444 0.250 0.000
S 0.293 0.523 0.250
O 0.003 0.750 0.000

Results
The value obtained for the total moment is 0.00 μB/atom. The value obtained for the total energy is -6.07 eV per atom.


(16)
Here is PmAuSO after structural relaxation from OQMD. Energies are from GGA-PBE.

a b c (Å): 5.723 9.116 5.738
angles (deg): 90.00 90.00 90.00
Space group Pcca (No. 54)
One atom of each set of equivalent atoms:
Pm 0.000 0.128 0.250
Au 0.250 0.500 0.245
S 0.000 0.288 0.750
O 0.250 0.000 0.001

Results
The value obtained for the total moment is 0.00 μB/atom. The value obtained for the total energy is -6.19 eV per atom.


(17)
Here is PmAuSO after structural relaxation from OQMD. Energies are from GGA-PBE.

a b c (Å): 5.722 9.121 5.735
angles (deg): 90.00 90.00 90.00
Space group Pcca (No. 54)
One atom of each set of equivalent atoms:
Pm 0.000 0.128 0.250
Au 0.250 0.500 0.247
S 0.000 0.288 0.750
O 0.250 0.000 0.000

Results
The value obtained for the total moment is 0.00 μB/atom. The value obtained for the total energy is -6.19 eV per atom.


(18)
Here is PmAuSO after structural relaxation from OQMD. Energies are from GGA-PBE.

a b c (Å): 3.988 3.988 9.012
angles (deg): 90.00 90.00 90.00
Space group P4mm (No. 99)
One atom of each set of equivalent atoms:
Pm 0.000 0.000 0.000
Pm 0.500 0.500 0.265
Au 0.000 0.500 0.633
S 0.000 0.000 0.424
S 0.500 0.500 0.842
O 0.000 0.500 0.132

Results
The value obtained for the total moment is 0.00 μB/atom. The value obtained for the total energy is -6.05 eV per atom.


(19)
Here is PmAuSO after structural relaxation from OQMD. Energies are from GGA-PBE.

a b c (Å): 4.004 4.004 8.916
angles (deg): 90.00 90.00 90.00
Space group P4/nmm (No. 129, origin choice 2)
One atom of each set of equivalent atoms:
Pm 0.250 0.250 0.133
Au 0.250 0.750 0.500
S 0.250 0.250 0.709
O 0.250 0.750 0.000

Results
The value obtained for the total moment is 0.00 μB/atom. The value obtained for the total energy is -6.05 eV per atom.


(20)
Here is PmAuSO after structural relaxation from OQMD. Energies are from GGA-PBE.

a b c (Å): 3.989 3.989 9.016
angles (deg): 90.00 90.00 90.00
Space group P4/nmm (No. 129, origin choice 2)
One atom of each set of equivalent atoms:
Pm 0.250 0.250 0.132
Au 0.250 0.750 0.500
S 0.250 0.250 0.709
O 0.250 0.750 0.000

Results
The value obtained for the total moment is 0.00 μB/atom. The value obtained for the total energy is -6.05 eV per atom.